No. 1
VASP calculation (SCAN) on a PBEsol-optimized structure of BaLi2Zn.

Structure (extended XYZ):
```
4
Lattice="3.6796 0.0128 0.0000 -0.2399 5.4091 0.0000 -1.7199 -2.7110 5.6292" Properties=species:S:1:pos:R:3 pbc="T T T"
Li -0.8599 -1.3555 2.8146
Li 0.8599 1.3555 2.8146
Ba -0.1199 2.7046 0.0000
Zn 1.8398 0.0064 0.0000
```

- E_form: 0.1558 eV/atom
- N(E_F): 0.65 states/eV per atom
- Crystal system: monoclinic


No. 2
VASP calculation (SCAN) on a PBEsol-optimized structure of Ge2WBr.

Structure (extended XYZ):
```
4
Lattice="-2.3227 0.9386 -3.8952 -2.3949 -3.3427 -2.1305 -4.6302 0.0903 0.0296" Properties=species:S:1:pos:R:3 pbc="T T T"
Ge -7.0109 -1.7353 -4.4971
Ge -2.3370 -0.5784 -1.4990
Br 0.0000 0.0000 0.0000
W -4.6739 -1.1569 -2.9981
```

- N(E_F): 0.92 states/eV per atom
- Crystal system: cubic
- Formation energy (no corrections): 1.35 eV/atom


No. 3
VASP calculation (SCAN) on a PBEsol-optimized structure of Be3Au.

Structure (extended XYZ):
```
4
Lattice="-1.4533 0.3409 -3.1296 3.1177 -0.3218 -1.4828 -1.2653 -3.4205 2.1358" Properties=species:S:1:pos:R:3 pbc="T T T"
Be 1.3423 -1.8664 -0.8266
Be -0.9432 -1.5350 -1.6500
Be 0.8322 0.0095 -2.3062
Au 0.0000 0.0000 0.0000
```

- E_form: -0.2723 eV/atom
- N(E_F): 0.17 states/eV per atom
- Crystal system: tetragonal


No. 4
VASP calculation (SCAN) on a PBEsol-optimized structure of Li4TlAg.

Structure (extended XYZ):
```
6
Lattice="5.1568 0.0000 0.0000 2.5784 4.4659 0.0000 2.5784 1.4886 4.2105" Properties=species:S:1:pos:R:3 pbc="T T T"
Ag 0.0000 0.0000 0.0000
Tl 7.7351 4.4659 3.1579
Li 6.4487 2.2314 1.5778
Li 3.8648 2.2314 1.5778
Li 5.1568 4.4690 1.5778
Li 5.1568 2.9773 3.6875
```

- E_form: -0.0978 eV/atom
- N(E_F): 0.35 states/eV per atom
- Crystal system: cubic


No. 5
VASP calculation (SCAN) on a PBEsol-optimized structure of SmB6.

Structure (extended XYZ):
```
7
Lattice="-1.7274 2.6193 -2.6330 -0.5116 -3.0440 -2.6925 -3.6786 -0.8066 1.6109" Properties=species:S:1:pos:R:3 pbc="T T T"
Sm 0.0000 0.0000 0.0000
B -3.1127 -1.5312 -2.6671
B -2.4393 -1.4034 -1.0654
B -2.8049 0.2999 -1.0475
B -4.0652 -0.8583 -1.3728
B -1.8524 -0.3731 -2.3418
B -3.4783 0.1721 -2.6492
```

- E_form: -0.5235 eV/atom
- N(E_F): 0.12 states/eV per atom
- Crystal system: cubic


No. 6
VASP calculation (SCAN) on a PBEsol-optimized structure of CaAlS2.

Structure (extended XYZ):
```
8
Lattice="5.9778 0.0000 0.0000 0.0000 5.9778 0.0000 -2.9889 -2.9889 5.2883" Properties=species:S:1:pos:R:3 pbc="T T T"
S 1.4944 1.1270 3.9662
S -1.4944 -1.1270 3.9662
S 4.1159 1.4944 1.3221
S 1.8619 4.4833 1.3221
Ca 0.0000 0.0000 0.0000
Ca 0.0000 2.9889 2.6441
Al 2.9889 0.0000 2.6441
Al 2.9889 2.9889 0.0000
```

- N(E_F): 0.62 states/eV per atom
- Crystal system: tetragonal
- Formation energy (no corrections): -1.25 eV/atom


No. 7
VASP calculation (SCAN) on a PBEsol-optimized structure of MnZnPt2.

Structure (extended XYZ):
```
4
Lattice="3.5187 0.0000 0.0000 0.0000 4.0127 0.0000 0.0000 0.0000 4.0127" Properties=species:S:1:pos:R:3 pbc="T T T"
Pt 0.0000 2.0064 0.0000
Pt 0.0000 0.0000 2.0064
Zn 1.7594 2.0064 2.0064
Mn 1.7594 0.0000 0.0000
```

- E_form: -0.7405 eV/atom
- N(E_F): 0.20 states/eV per atom
- Crystal system: tetragonal


No. 8
VASP calculation (SCAN) on a PBEsol-optimized structure of AlMoRhW2.

Structure (extended XYZ):
```
5
Lattice="-2.3696 -3.2571 -1.5054 2.7462 -0.2586 -3.7632 2.7599 -3.0352 2.2227" Properties=species:S:1:pos:R:3 pbc="T T T"
W 1.3731 -0.1293 -1.8816
W 1.3800 -1.5176 1.1113
Rh 0.0000 0.0000 0.0000
Al -1.1848 -1.6285 -0.7527
Mo 1.5683 -3.2755 -1.5229
```

- E_form: 1.5489 eV/atom
- N(E_F): 0.69 states/eV per atom
- Crystal system: tetragonal


Q: Among the records above, which one has the highest N(E_F)?
A: Ge2WBr


Q: Look up the N(E_F) of the third one.
A: 0.17 states/eV per atom


Q: Look up the N(E_F) of the fourth one.
A: 0.35 states/eV per atom


Q: Which value of N(E_F) does entry 6 give?
A: 0.62 states/eV per atom